[1]
SmYScCu | PBE-GGA | optimized geometry

Results
**Total magnetization**: 0.00 μB/cell
**Energy of formation**: 0.132 eV per atom
**Final energy**: -5.27 eV/atom

Unit cell a=7.361 b=7.361 c=7.361 alpha=90.00 beta=90.00 gamma=90.00
Space group F-43m (No. 216)
One atom of each set of equivalent atoms:
1 Sm 0.000 0.000 0.000 x4
2 Y 0.000 0.000 0.500 x4
3 Sc 0.250 0.250 0.750 x4
4 Cu 0.250 0.250 0.250 x4

***

[2]
ScCuSn | PBE-GGA | optimized geometry

Results
**Total magnetization**: 0.35 μB/cell
**Energy of formation**: -0.214 eV per atom
**Final energy**: -5.02 eV/atom

Unit cell a=3.337 b=5.723 c=6.794 alpha=74.37 beta=82.72 gamma=73.39
Space group P1 (No. 1)
One atom of each set of equivalent atoms:
1 Sc 0.000 0.000 0.000 x1
2 Sc 0.004 0.000 0.500 x1
3 Cu 0.316 0.321 0.138 x1
4 Cu 0.683 0.681 0.860 x1
5 Sn 0.364 0.386 0.709 x1
6 Sn 0.637 0.614 0.290 x1

***

[3]
ScCuSn | PBE-GGA | optimized geometry

Results
**Total magnetization**: 0.00 μB/cell
**Energy of formation**: -0.544 eV per atom
**Final energy**: -5.35 eV/atom

Unit cell a=4.4205 b=4.4205 c=6.8808 alpha=90.00 beta=90.00 gamma=120.00
Space group P6_3mc (No. 186)
One atom of each set of equivalent atoms:
1 Sc 0.0000 0.0000 0.0000 x2
2 Cu 0.3333 0.6667 0.1698 x2
3 Sn 0.3333 0.6667 0.7686 x2

***

[4]
ScCuSn | PBE-GGA | optimized geometry

Results
**Total magnetization**: 0.00 μB/cell
**Energy of formation**: -0.480 eV per atom
**Final energy**: -5.29 eV/atom

Unit cell a=4.4100 b=4.4100 c=6.9439 alpha=90.00 beta=90.00 gamma=120.00
Space group P-6m2 (No. 187)
One atom of each set of equivalent atoms:
1 Sc 0.0000 0.0000 0.0000 x1
2 Sc 0.0000 0.0000 0.5000 x1
3 Cu 0.6667 0.3333 0.1863 x2
4 Sn 0.3333 0.6667 0.2693 x2

***

[5]
ScCuSn | PBE-GGA | optimized geometry

Results
**Total magnetization**: 0.24 μB/cell
**Energy of formation**: -0.258 eV per atom
**Final energy**: -5.07 eV/atom

Unit cell a=3.257 b=3.257 c=11.046 alpha=90.00 beta=90.00 gamma=90.00
Space group I4mm (No. 107)
One atom of each set of equivalent atoms:
1 Sc 0.000 0.000 0.000 x2
2 Cu 0.000 0.000 0.643 x2
3 Sn 0.000 0.000 0.298 x2

***

[6]
ScCuSn | PBE-GGA | optimized geometry

Results
**Total magnetization**: 0.00 μB/cell
**Energy of formation**: -0.329 eV per atom
**Final energy**: -5.14 eV/atom

Unit cell a=4.080 b=4.254 c=13.389 alpha=90.00 beta=90.00 gamma=90.00
Space group Amm2 (No. 38)
One atom of each set of equivalent atoms:
1 Sc 0.000 0.000 0.000 x2
2 Sc 0.000 0.000 0.309 x2
3 Cu 0.500 0.000 0.162 x2
4 Cu 0.500 0.000 0.817 x2
5 Sn 0.000 0.000 0.664 x2
6 Sn 0.500 0.000 0.468 x2

***

[7]
ScCuSn | PBE-GGA | optimized geometry

Results
**Total magnetization**: 0.00 μB/cell
**Energy of formation**: -0.361 eV per atom
**Final energy**: -5.17 eV/atom

Unit cell a=4.3534 b=4.3534 c=7.7017 alpha=90.00 beta=90.00 gamma=120.00
Space group P-6m2 (No. 187)
One atom of each set of equivalent atoms:
1 Sc 0.0000 0.0000 0.0000 x1
2 Sc 0.3333 0.6667 0.5000 x1
3 Cu 0.0000 0.0000 0.3419 x2
4 Sn 0.6667 0.3333 0.2339 x2

***

[8]
Sc6CuSn2 | PBE-GGA | optimized geometry

Results
**Total magnetization**: 2.79 μB/cell
**Energy of formation**: -0.424 eV per atom
**Final energy**: -5.99 eV/atom

Unit cell a=8.0170 b=8.0170 c=3.6375 alpha=90.00 beta=90.00 gamma=120.00
Space group P-62m (No. 189)
One atom of each set of equivalent atoms:
1 Sc 0.0000 0.3923 0.0000 x3
2 Sc 0.0000 0.7514 0.5000 x3
3 Cu 0.0000 0.0000 0.0000 x1
4 Sn 0.3333 0.6667 0.5000 x2